Entry from Alexandria: a relaxed structure of HfTcBiS2 (PBE). Values from VASP.

Computed properties:
- Uncorrected formation energy: 1.591 eV per atom
- Raw total energy: -4.900 eV/atom

Cell and atoms, written as Quantum ESPRESSO input:
```
&SYSTEM
  ibrav = 0, nat = 5, ntyp = 4
/
ATOMIC_SPECIES
Bi 208.98 Bi.upf
S 32.06 S.upf
Tc 98.00 Tc.upf
Hf 178.49 Hf.upf
CELL_PARAMETERS angstrom
5.161 0.000 0.000
0.000 5.654 0.000
0.000 0.000 5.161
ATOMIC_POSITIONS crystal
Bi 0.000 0.000 0.000
S 0.000 0.000 0.500
S 0.500 0.000 0.000
Tc 0.500 0.500 0.500
Hf 0.000 0.500 0.000
```

=====

Entry from Alexandria: a relaxed structure of HfTiBi2S (PBE). Values from VASP.

Computed properties:
- Uncorrected formation energy: 0.322 eV per atom
- Raw total energy: -5.626 eV/atom

Cell and atoms, written as Quantum ESPRESSO input:
```
&SYSTEM
  ibrav = 0, nat = 5, ntyp = 4
/
ATOMIC_SPECIES
Ti 47.87 Ti.upf
Hf 178.49 Hf.upf
Bi 208.98 Bi.upf
S 32.06 S.upf
CELL_PARAMETERS angstrom
-5.359 0.123 -0.869
0.616 -1.611 -4.025
-0.432 -5.048 1.954
ATOMIC_POSITIONS crystal
Ti 0.000 0.500 0.000
Hf 0.500 0.500 0.500
Bi 0.000 0.000 0.500
Bi 0.500 0.000 0.000
S 0.000 0.000 0.000
```

=====

Entry from Alexandria: a relaxed structure of HfTiBi2S (PBE). Values from VASP.

Computed properties:
- Uncorrected formation energy: 0.407 eV per atom
- Raw total energy: -5.541 eV/atom

Cell and atoms, written as Quantum ESPRESSO input:
```
&SYSTEM
  ibrav = 0, nat = 5, ntyp = 4
/
ATOMIC_SPECIES
Ti 47.87 Ti.upf
Bi 208.98 Bi.upf
Hf 178.49 Hf.upf
S 32.06 S.upf
CELL_PARAMETERS angstrom
-0.943 4.957 -2.691
-4.208 0.331 2.084
2.383 2.822 4.365
ATOMIC_POSITIONS crystal
Ti 0.500 0.500 0.500
Bi 0.000 0.000 0.500
Bi 0.500 0.000 0.000
Hf 0.000 0.000 0.000
S 0.000 0.500 0.000
```

=====

Entry from Alexandria: a relaxed structure of HfTl3Bi3S8 (PBE). Values from VASP.

Computed properties:
- Uncorrected formation energy: -0.655 eV per atom
- Raw total energy: -4.769 eV/atom

Cell and atoms, written as Quantum ESPRESSO input:
```
&SYSTEM
  ibrav = 0, nat = 15, ntyp = 4
/
ATOMIC_SPECIES
Tl 204.38 Tl.upf
S 32.06 S.upf
Hf 178.49 Hf.upf
Bi 208.98 Bi.upf
CELL_PARAMETERS angstrom
8.074 0.000 0.000
-4.037 6.993 -0.028
0.000 -4.633 7.584
ATOMIC_POSITIONS crystal
Tl 0.000 0.000 0.000
Tl 0.000 0.500 0.000
Tl 0.500 0.500 0.000
S 0.737 0.475 0.712
S 0.782 0.023 0.306
S 0.759 0.977 0.694
S 0.218 0.977 0.694
S 0.241 0.023 0.306
S 0.218 0.435 0.694
S 0.263 0.525 0.288
S 0.782 0.565 0.306
Hf 0.000 0.000 0.500
Bi 0.000 0.500 0.500
Bi 0.500 0.000 0.500
Bi 0.500 0.500 0.500
```

=====

Entry from Alexandria: a relaxed structure of HfBiW2S (PBE). Values from VASP.

Computed properties:
- Uncorrected formation energy: 2.737 eV per atom
- Raw total energy: -6.036 eV/atom

Cell and atoms, written as Quantum ESPRESSO input:
```
&SYSTEM
  ibrav = 0, nat = 5, ntyp = 4
/
ATOMIC_SPECIES
W 183.84 W.upf
Hf 178.49 Hf.upf
S 32.06 S.upf
Bi 208.98 Bi.upf
CELL_PARAMETERS angstrom
5.036 0.000 0.000
0.000 5.398 0.000
0.000 0.000 5.036
ATOMIC_POSITIONS crystal
W 0.000 0.000 0.500
W 0.500 0.000 0.000
Hf 0.000 0.500 0.000
S 0.500 0.500 0.500
Bi 0.000 0.000 0.000
```

=====

Entry from Alexandria: a relaxed structure of HfBi3Sb (PBE). Values from VASP.

Computed properties:
- Uncorrected formation energy: 1.124 eV per atom
- Raw total energy: -4.020 eV/atom

Cell and atoms, written as Quantum ESPRESSO input:
```
&SYSTEM
  ibrav = 0, nat = 5, ntyp = 3
/
ATOMIC_SPECIES
Bi 208.98 Bi.upf
Hf 178.49 Hf.upf
Sb 121.76 Sb.upf
CELL_PARAMETERS angstrom
5.709 0.000 0.000
0.000 5.709 0.000
0.000 0.000 5.709
ATOMIC_POSITIONS crystal
Bi 0.000 0.500 0.000
Bi 0.000 0.000 0.500
Bi 0.500 0.000 0.000
Hf 0.500 0.500 0.500
Sb 0.000 0.000 0.000
```

=====

Entry from Alexandria: a relaxed structure of Hf7Bi2Sb2 (PBE). Values from VASP.

Computed properties:
- Uncorrected formation energy: -0.093 eV per atom
- Raw total energy: -7.883 eV/atom

Cell and atoms, written as Quantum ESPRESSO input:
```
&SYSTEM
  ibrav = 0, nat = 11, ntyp = 3
/
ATOMIC_SPECIES
Hf 178.49 Hf.upf
Bi 208.98 Bi.upf
Sb 121.76 Sb.upf
CELL_PARAMETERS angstrom
8.114 0.286 0.413
-0.784 6.036 -0.436
-0.784 -2.527 5.498
ATOMIC_POSITIONS crystal
Hf 0.171 0.927 0.432
Hf 0.819 0.558 0.558
Hf 0.829 0.073 0.568
Hf 0.171 0.432 0.927
Hf 0.181 0.442 0.442
Hf 0.000 0.000 0.000
Hf 0.829 0.568 0.073
Bi 0.500 0.330 0.670
Bi 0.500 0.670 0.330
Sb 0.680 0.083 0.083
Sb 0.320 0.917 0.917
```

=====

Entry from Alexandria: a relaxed structure of Hf12Bi2Sb5 (PBE). Values from VASP.

Computed properties:
- Uncorrected formation energy: 0.055 eV per atom
- Raw total energy: -7.725 eV/atom

Cell and atoms, written as Quantum ESPRESSO input:
```
&SYSTEM
  ibrav = 0, nat = 19, ntyp = 3
/
ATOMIC_SPECIES
Bi 208.98 Bi.upf
Hf 178.49 Hf.upf
Sb 121.76 Sb.upf
CELL_PARAMETERS angstrom
-6.599 1.007 0.245
2.056 -7.332 -5.524
-0.323 -3.990 7.688
ATOMIC_POSITIONS crystal
Bi 0.726 0.000 0.000
Bi 0.274 0.000 0.000
Hf 0.125 0.726 0.475
Hf 0.581 0.629 0.894
Hf 0.048 0.629 0.894
Hf 0.069 0.138 0.238
Hf 0.952 0.371 0.106
Hf 0.494 0.989 0.677
Hf 0.600 0.726 0.475
Hf 0.400 0.274 0.525
Hf 0.875 0.274 0.525
Hf 0.506 0.011 0.323
Hf 0.931 0.862 0.762
Hf 0.419 0.371 0.106
Sb 0.266 0.531 0.636
Sb 0.671 0.342 0.821
Sb 0.329 0.658 0.179
Sb 0.000 0.000 0.500
Sb 0.734 0.469 0.364
```

=====

Entry from Alexandria: a relaxed structure of HfBiSb (PBE). Values from VASP.

Computed properties:
- Uncorrected formation energy: -0.080 eV per atom
- Raw total energy: -6.065 eV/atom

Cell and atoms, written as Quantum ESPRESSO input:
```
&SYSTEM
  ibrav = 0, nat = 6, ntyp = 3
/
ATOMIC_SPECIES
Sb 121.76 Sb.upf
Bi 208.98 Bi.upf
Hf 178.49 Hf.upf
CELL_PARAMETERS angstrom
-4.235 -1.686 2.824
-0.892 -4.165 -3.824
3.659 -2.608 3.930
ATOMIC_POSITIONS crystal
Sb 0.750 0.135 0.407
Sb 0.250 0.865 0.593
Bi 0.250 0.362 0.077
Bi 0.750 0.638 0.923
Hf 0.250 0.369 0.578
Hf 0.750 0.631 0.422
```

=====

Entry from Alexandria: a relaxed structure of Hf6Bi2Sb (PBE). Values from VASP.

Computed properties:
- Uncorrected formation energy: -0.141 eV per atom
- Raw total energy: -8.097 eV/atom

Cell and atoms, written as Quantum ESPRESSO input:
```
&SYSTEM
  ibrav = 0, nat = 18, ntyp = 3
/
ATOMIC_SPECIES
Bi 208.98 Bi.upf
Hf 178.49 Hf.upf
Sb 121.76 Sb.upf
CELL_PARAMETERS angstrom
5.076 0.000 0.202
0.000 8.771 0.000
-0.368 0.000 9.176
ATOMIC_POSITIONS crystal
Bi 0.500 0.830 0.747
Bi 0.000 0.330 0.753
Bi 0.000 0.670 0.247
Bi 0.500 0.170 0.253
Hf 0.500 0.168 0.926
Hf 0.000 0.668 0.574
Hf 0.000 0.004 0.162
Hf 0.500 0.496 0.662
Hf 0.500 0.157 0.589
Hf 0.000 0.343 0.089
Hf 0.000 0.996 0.838
Hf 0.500 0.504 0.338
Hf 0.000 0.332 0.426
Hf 0.500 0.832 0.074
Hf 0.000 0.657 0.911
Hf 0.500 0.843 0.411
Sb 0.000 0.000 0.500
Sb 0.500 0.500 0.000
```

=====

Entry from Alexandria: a relaxed structure of HfBiSb2 (PBE). Values from VASP.

Computed properties:
- Uncorrected formation energy: -0.062 eV per atom
- Raw total energy: -5.582 eV/atom

Cell and atoms, written as Quantum ESPRESSO input:
```
&SYSTEM
  ibrav = 0, nat = 4, ntyp = 3
/
ATOMIC_SPECIES
Sb 121.76 Sb.upf
Bi 208.98 Bi.upf
Hf 178.49 Hf.upf
CELL_PARAMETERS angstrom
-3.793 -1.205 -0.317
-1.888 -1.507 3.179
-4.442 6.581 2.989
ATOMIC_POSITIONS crystal
Sb 0.072 0.072 0.783
Sb 0.258 0.258 0.225
Bi 0.503 0.503 0.490
Hf 0.666 0.666 0.003
```

=====

Entry from Alexandria: a relaxed structure of HfBiSb (PBE). Values from VASP.

Computed properties:
- Uncorrected formation energy: -0.216 eV per atom
- Raw total energy: -6.201 eV/atom

Cell and atoms, written as Quantum ESPRESSO input:
```
&SYSTEM
  ibrav = 0, nat = 12, ntyp = 3
/
ATOMIC_SPECIES
Bi 208.98 Bi.upf
Sb 121.76 Sb.upf
Hf 178.49 Hf.upf
CELL_PARAMETERS angstrom
-3.842 -4.228 0.667
0.465 -1.641 -7.722
5.028 -4.089 3.037
ATOMIC_POSITIONS crystal
Bi 0.007 0.417 0.265
Bi 0.993 0.583 0.735
Bi 0.493 0.417 0.765
Bi 0.507 0.583 0.235
Sb 0.629 0.889 0.644
Sb 0.371 0.111 0.356
Sb 0.871 0.889 0.144
Sb 0.129 0.111 0.856
Hf 0.632 0.178 0.031
Hf 0.368 0.822 0.969
Hf 0.868 0.178 0.531
Hf 0.132 0.822 0.469
```

=====

Entry from Alexandria: a relaxed structure of HfBiSb2 (PBE). Values from VASP.

Computed properties:
- Uncorrected formation energy: -0.141 eV per atom
- Raw total energy: -5.661 eV/atom

Cell and atoms, written as Quantum ESPRESSO input:
```
&SYSTEM
  ibrav = 0, nat = 4, ntyp = 3
/
ATOMIC_SPECIES
Hf 178.49 Hf.upf
Sb 121.76 Sb.upf
Bi 208.98 Bi.upf
CELL_PARAMETERS angstrom
-1.986 3.095 0.704
-2.166 -1.929 2.368
4.569 1.672 5.542
ATOMIC_POSITIONS crystal
Hf 0.500 0.500 0.000
Sb 0.000 0.000 0.795
Sb 0.000 0.000 0.205
Bi 0.500 0.500 0.500
```

=====

Entry from Alexandria: a relaxed structure of Hf6BiSb2 (PBE). Values from VASP.

Computed properties:
- Uncorrected formation energy: -0.188 eV per atom
- Raw total energy: -8.171 eV/atom

Cell and atoms, written as Quantum ESPRESSO input:
```
&SYSTEM
  ibrav = 0, nat = 18, ntyp = 3
/
ATOMIC_SPECIES
Hf 178.49 Hf.upf
Sb 121.76 Sb.upf
Bi 208.98 Bi.upf
CELL_PARAMETERS angstrom
5.545 0.000 0.061
0.000 8.198 0.000
-0.680 0.000 9.142
ATOMIC_POSITIONS crystal
Hf 0.593 0.159 0.937
Hf 0.436 0.816 0.426
Hf 0.411 0.518 0.677
Hf 0.564 0.184 0.574
Hf 0.936 0.684 0.926
Hf 0.089 0.018 0.823
Hf 0.907 0.659 0.563
Hf 0.064 0.316 0.074
Hf 0.589 0.482 0.323
Hf 0.093 0.341 0.437
Hf 0.407 0.841 0.063
Hf 0.911 0.982 0.177
Sb 0.070 0.630 0.245
Sb 0.430 0.130 0.255
Sb 0.930 0.370 0.755
Sb 0.570 0.870 0.745
Bi 0.500 0.500 0.000
Bi 0.000 0.000 0.500
```

=====

Entry from Alexandria: a relaxed structure of HfBiSb (PBE). Values from VASP.

Computed properties:
- Uncorrected formation energy: 0.000 eV per atom
- Raw total energy: -5.986 eV/atom

Cell and atoms, written as Quantum ESPRESSO input:
```
&SYSTEM
  ibrav = 0, nat = 3, ntyp = 3
/
ATOMIC_SPECIES
Sb 121.76 Sb.upf
Hf 178.49 Hf.upf
Bi 208.98 Bi.upf
CELL_PARAMETERS angstrom
3.264 0.000 0.000
0.000 5.211 0.000
0.000 -2.606 4.513
ATOMIC_POSITIONS crystal
Sb 0.167 0.333 0.667
Hf 0.166 0.000 0.000
Bi 0.667 0.667 0.333
```

=====

Entry from Alexandria: a relaxed structure of Hf8Bi2Sb (PBE). Values from VASP.

Computed properties:
- Uncorrected formation energy: 0.063 eV per atom
- Raw total energy: -8.256 eV/atom

Cell and atoms, written as Quantum ESPRESSO input:
```
&SYSTEM
  ibrav = 0, nat = 11, ntyp = 3
/
ATOMIC_SPECIES
Hf 178.49 Hf.upf
Sb 121.76 Sb.upf
Bi 208.98 Bi.upf
CELL_PARAMETERS angstrom
-5.037 -2.058 -0.732
2.679 -4.539 5.698
-1.592 7.493 1.254
ATOMIC_POSITIONS crystal
Hf 0.840 0.902 0.687
Hf 0.160 0.098 0.313
Hf 0.500 0.220 0.780
Hf 0.304 0.591 0.591
Hf 0.500 0.780 0.220
Hf 0.160 0.313 0.098
Hf 0.696 0.409 0.409
Hf 0.840 0.687 0.902
Sb 0.500 0.000 0.000
Bi 0.000 0.697 0.303
Bi 0.000 0.303 0.697
```

=====

Entry from Alexandria: a relaxed structure of Hf6BiSb3 (PBE). Values from VASP.

Computed properties:
- Uncorrected formation energy: -0.233 eV per atom
- Raw total energy: -7.830 eV/atom

Cell and atoms, written as Quantum ESPRESSO input:
```
&SYSTEM
  ibrav = 0, nat = 20, ntyp = 3
/
ATOMIC_SPECIES
Sb 121.76 Sb.upf
Hf 178.49 Hf.upf
Bi 208.98 Bi.upf
CELL_PARAMETERS angstrom
7.331 0.000 0.000
0.000 8.368 -0.578
0.000 -2.431 8.028
ATOMIC_POSITIONS crystal
Sb 0.966 0.070 0.286
Sb 0.466 0.286 0.070
Sb 0.814 0.566 0.434
Sb 0.966 0.714 0.930
Sb 0.466 0.930 0.714
Sb 0.314 0.434 0.566
Hf 0.097 0.729 0.271
Hf 0.597 0.271 0.729
Hf 0.624 0.641 0.762
Hf 0.296 0.058 0.473
Hf 0.296 0.527 0.942
Hf 0.124 0.359 0.238
Hf 0.796 0.942 0.527
Hf 0.124 0.762 0.641
Hf 0.624 0.238 0.359
Hf 0.270 0.963 0.037
Hf 0.770 0.037 0.963
Hf 0.796 0.473 0.058
Bi 0.534 0.799 0.201
Bi 0.034 0.201 0.799
```

=====

Entry from Alexandria: a relaxed structure of Hf2Bi2Sb (PBE). Values from VASP.

Computed properties:
- Uncorrected formation energy: -0.133 eV per atom
- Raw total energy: -6.491 eV/atom

Cell and atoms, written as Quantum ESPRESSO input:
```
&SYSTEM
  ibrav = 0, nat = 10, ntyp = 3
/
ATOMIC_SPECIES
Bi 208.98 Bi.upf
Hf 178.49 Hf.upf
Sb 121.76 Sb.upf
CELL_PARAMETERS angstrom
7.939 0.000 0.000
0.000 7.939 0.000
0.000 0.000 4.038
ATOMIC_POSITIONS crystal
Bi 0.648 0.852 0.500
Bi 0.852 0.352 0.500
Bi 0.148 0.648 0.500
Bi 0.352 0.148 0.500
Hf 0.850 0.650 0.000
Hf 0.350 0.850 0.000
Hf 0.150 0.350 0.000
Hf 0.650 0.150 0.000
Sb 0.000 0.000 0.000
Sb 0.500 0.500 0.000
```

=====

Entry from Alexandria: a relaxed structure of HfBi3Sb (PBE). Values from VASP.

Computed properties:
- Uncorrected formation energy: 0.488 eV per atom
- Raw total energy: -4.656 eV/atom

Cell and atoms, written as Quantum ESPRESSO input:
```
&SYSTEM
  ibrav = 0, nat = 5, ntyp = 3
/
ATOMIC_SPECIES
Bi 208.98 Bi.upf
Sb 121.76 Sb.upf
Hf 178.49 Hf.upf
CELL_PARAMETERS angstrom
5.627 0.000 0.000
0.000 5.627 0.000
0.000 0.000 5.627
ATOMIC_POSITIONS crystal
Bi 0.000 0.500 0.000
Bi 0.500 0.000 0.000
Bi 0.000 0.000 0.500
Sb 0.500 0.500 0.500
Hf 0.000 0.000 0.000
```

=====

Entry from Alexandria: a relaxed structure of Hf6Bi3Sb (PBE). Values from VASP.

Computed properties:
- Uncorrected formation energy: -0.026 eV per atom
- Raw total energy: -7.574 eV/atom

Cell and atoms, written as Quantum ESPRESSO input:
```
&SYSTEM
  ibrav = 0, nat = 20, ntyp = 3
/
ATOMIC_SPECIES
Sb 121.76 Sb.upf
Hf 178.49 Hf.upf
Bi 208.98 Bi.upf
CELL_PARAMETERS angstrom
7.544 0.000 0.000
0.000 8.586 -1.116
0.000 -3.004 8.120
ATOMIC_POSITIONS crystal
Sb 0.504 0.830 0.170
Sb 0.004 0.170 0.830
Hf 0.250 0.995 0.005
Hf 0.620 0.612 0.780
Hf 0.117 0.751 0.249
Hf 0.795 0.533 0.069
Hf 0.120 0.388 0.220
Hf 0.795 0.931 0.467
Hf 0.750 0.005 0.995
Hf 0.617 0.249 0.751
Hf 0.120 0.780 0.612
Hf 0.620 0.220 0.388
Hf 0.295 0.467 0.931
Hf 0.295 0.069 0.533
Bi 0.790 0.568 0.432
Bi 0.496 0.313 0.115
Bi 0.290 0.432 0.568
Bi 0.996 0.115 0.313
Bi 0.996 0.687 0.885
Bi 0.496 0.885 0.687
```